No. 1
Here is crystalline InAgSbSe4 at its relaxed geometry from the Alexandria database. Energies are from GGA-PBE.

Summary:
* space-group type: No. 74
* formation energy without anion corrections: -279 meV per atom
* magnetic moment: 0.0 μB/cell

a = 8.2014 Å, b = 8.2014 Å, c = 8.2014 Å
α = 121.29°, β = 120.68°, γ = 88.31°
With the nearest neighbours (Å) after each atom.
Element x y z (fractional)
In1 0.0000 0.0000 0.0000  6 Se 2.77-2.84
In2 0.5000 0.0000 0.5000  6 Se 2.77-2.84
Ag1 0.3679 0.6179 0.7500  4 Se 2.62-2.65
Ag2 0.6321 0.3821 0.2500  4 Se 2.62-2.65
Sb1 0.0000 0.0000 0.5000  6 Se 2.81-2.83
Sb2 0.0000 0.5000 0.0000  6 Se 2.81-2.83
Se1 0.2367 0.2413 0.9954  1 Ag 2.65, 2 Sb 2.83, 1 In 2.84
Se2 0.2387 0.2227 0.4840  1 Ag 2.62, 2 In 2.77, 1 Sb 2.81
Se3 0.2387 0.7546 0.0160  1 Ag 2.62, 2 In 2.77, 1 Sb 2.81
Se4 0.2541 0.7587 0.4954  1 Ag 2.65, 2 Sb 2.83, 1 In 2.84
Se5 0.7459 0.2413 0.5046  1 Ag 2.65, 2 Sb 2.83, 1 In 2.84
Se6 0.7613 0.2454 0.9840  1 Ag 2.62, 2 In 2.77, 1 Sb 2.81
Se7 0.7613 0.7773 0.5160  1 Ag 2.62, 2 In 2.77, 1 Sb 2.81
Se8 0.7633 0.7587 0.0046  1 Ag 2.65, 2 Sb 2.83, 1 In 2.84

No. 2
Here is crystalline In4AgSbSe8 at its relaxed geometry from the Alexandria database. Energies are from GGA-PBE.

Summary:
* space-group type: No. 160
* formation energy without anion corrections: -417 meV per atom
* magnetic moment: 0.0 μB/cell

a = 8.1961 Å, b = 8.1961 Å, c = 8.1961 Å
α = 60.34°, β = 60.34°, γ = 60.34°
With the nearest neighbours (Å) after each atom.
Element x y z (fractional)
In1 0.0000 0.0000 0.0000  4 Se 2.66-2.74
In2 0.3839 0.3839 0.8616  6 Se 2.74-2.88
In3 0.3839 0.8616 0.3839  6 Se 2.74-2.88
In4 0.8616 0.3839 0.3839  6 Se 2.74-2.88
Ag1 0.7515 0.7515 0.7515  4 Se 2.63-2.66
Sb1 0.3847 0.3847 0.3847  6 Se 2.79-2.97
Se1 0.1300 0.1300 0.6044  3 In 2.66-2.85, 1 Sb 2.97
Se2 0.1300 0.6044 0.1300  3 In 2.66-2.85, 1 Sb 2.97
Se3 0.1370 0.1370 0.1370  4 In 2.74-2.88
Se4 0.1475 0.6245 0.6245  1 Ag 2.66, 2 In 2.75, 1 Sb 2.79
Se5 0.6044 0.1300 0.1300  3 In 2.66-2.85, 1 Sb 2.97
Se6 0.6199 0.6199 0.6199  1 Ag 2.63, 3 In 2.74
Se7 0.6245 0.1475 0.6245  1 Ag 2.66, 2 In 2.75, 1 Sb 2.79
Se8 0.6245 0.6245 0.1475  1 Ag 2.66, 2 In 2.75, 1 Sb 2.79

No. 3
Here is crystalline InSi2AgSb at its relaxed geometry from the Alexandria database. Energies are from GGA-PBE.

Summary:
* space-group type: No. 123
* formation energy without anion corrections: 1154 meV per atom
* magnetic moment: 0.0 μB/cell

a = 5.2291 Å, b = 5.2291 Å, c = 5.7240 Å
α = 90.00°, β = 90.00°, γ = 90.00°
With the nearest neighbours (Å) after each atom.
Element x y z (fractional)
In1 0.0000 0.0000 0.0000  2 Sb 2.86
Si1 0.0000 0.5000 0.5000  2 Sb 2.61
Si2 0.5000 0.0000 0.5000  2 Sb 2.61
Ag1 0.5000 0.5000 0.0000  4 In 3.70, 8 Si 3.88
Sb1 0.0000 0.0000 0.5000  4 Si 2.61, 2 In 2.86

No. 4
Here is crystalline Sr2InAg3Sb4 at its relaxed geometry from the Alexandria database. Energies are from GGA-PBE.

Summary:
* space-group type: No. 115
* formation energy without anion corrections: -388 meV per atom
* magnetic moment: 0.0 μB/cell

a = 4.9406 Å, b = 4.9406 Å, c = 11.6029 Å
α = 90.00°, β = 90.00°, γ = 90.00°
With the nearest neighbours (Å) after each atom.
Element x y z (fractional)
Sr1 0.0000 0.5000 0.2313  8 Sb 3.65-3.81, 6 Ag 3.69-3.98, 2 In 3.98
Sr2 0.5000 0.0000 0.7687  8 Sb 3.65-3.81, 6 Ag 3.69-3.98, 2 In 3.98
In1 0.0000 0.0000 0.5000  4 Sb 2.95
Ag1 0.0000 0.5000 0.8724  5 Sb 2.72-2.88
Ag2 0.5000 0.0000 0.1276  5 Sb 2.72-2.88
Ag3 0.5000 0.5000 0.5000  4 Sb 2.95
Sb1 0.0000 0.0000 0.0000  4 Ag 2.88
Sb2 0.0000 0.5000 0.6382  3 Ag 2.72-2.95, 2 In 2.95
Sb3 0.5000 0.0000 0.3618  3 Ag 2.72-2.95, 2 In 2.95
Sb4 0.5000 0.5000 0.0000  4 Ag 2.88

No. 5
Here is crystalline InAgSbTe2 at its relaxed geometry from the Alexandria database. Energies are from GGA-PBE.

Summary:
* ΔE to the lowest computed polymorph: 0 meV per atom
* space-group type: No. 123
* formation energy without anion corrections: 401 meV per atom
* magnetic moment: 0.0 μB/cell

a = 5.7161 Å, b = 5.7161 Å, c = 5.4004 Å
α = 90.00°, β = 90.00°, γ = 90.00°
With the nearest neighbours (Å) after each atom.
Element x y z (fractional)
In1 0.0000 0.0000 0.0000  8 Te 3.93, 4 Sb 4.04
Ag1 0.5000 0.5000 0.5000  2 Sb 2.70, 4 Te 2.86
Sb1 0.5000 0.5000 0.0000  2 Ag 2.70
Te1 0.0000 0.5000 0.5000  2 Ag 2.86
Te2 0.5000 0.0000 0.5000  2 Ag 2.86

No. 6
Here is crystalline InAgSbTe2 at its relaxed geometry from the Alexandria database. Energies are from GGA-PBE.

Summary:
* ΔE to the lowest computed polymorph: 316 meV per atom
* space-group type: No. 123
* formation energy without anion corrections: 718 meV per atom
* magnetic moment: 0.2 μB/cell

a = 5.7417 Å, b = 5.7417 Å, c = 5.5581 Å
α = 90.00°, β = 90.00°, γ = 90.00°
With the nearest neighbours (Å) after each atom.
Element x y z (fractional)
In1 0.0000 0.0000 0.0000  2 Sb 2.78, 4 Te 2.87
Ag1 0.5000 0.5000 0.5000  8 Te 4.00, 4 Sb 4.06
Sb1 0.0000 0.0000 0.5000  2 In 2.78
Te1 0.0000 0.5000 0.0000  2 In 2.87
Te2 0.5000 0.0000 0.0000  2 In 2.87

No. 7
Here is crystalline In2AgSbTe2 at its relaxed geometry from the Alexandria database. Energies are from GGA-PBE.

Summary:
* space-group type: No. 36
* formation energy without anion corrections: -169 meV per atom
* magnetic moment: 0.0 μB/cell

a = 8.0530 Å, b = 8.0530 Å, c = 7.6819 Å
α = 90.00°, β = 90.00°, γ = 59.77°
With the nearest neighbours (Å) after each atom.
Element x y z (fractional)
In1 0.0238 0.6668 0.5000  1 Sb 2.80, 3 Te 2.91-2.94
In2 0.3332 0.9762 0.5000  1 Sb 2.80, 3 Te 2.91-2.94
In3 0.6668 0.0238 0.0000  1 Sb 2.80, 3 Te 2.91-2.94
In4 0.9762 0.3332 0.0000  1 Sb 2.80, 3 Te 2.91-2.94
Ag1 0.3235 0.6765 0.9845  2 Sb 2.73-2.77, 2 Te 2.85
Ag2 0.6765 0.3235 0.4845  2 Sb 2.73-2.77, 2 Te 2.85
Sb1 0.3613 0.6387 0.6312  2 Ag 2.73-2.77, 2 In 2.80
Sb2 0.6387 0.3613 0.1312  2 Ag 2.73-2.77, 2 In 2.80
Te1 0.0022 0.3322 0.6182  1 Ag 2.85, 3 In 2.91-2.94
Te2 0.3322 0.0022 0.1182  1 Ag 2.85, 3 In 2.91-2.94
Te3 0.6678 0.9978 0.6182  1 Ag 2.85, 3 In 2.91-2.94
Te4 0.9978 0.6678 0.1182  1 Ag 2.85, 3 In 2.91-2.94

No. 8
Here is crystalline Tl2InAgSb2 at its relaxed geometry from the Alexandria database. Energies are from GGA-PBE.

Summary:
* space-group type: No. 72
* formation energy without anion corrections: -7 meV per atom
* magnetic moment: 0.0 μB/cell

a = 9.5374 Å, b = 9.5374 Å, c = 9.5374 Å
α = 141.12°, β = 58.26°, γ = 138.38°
With the nearest neighbours (Å) after each atom.
Element x y z (fractional)
Tl1 0.1794 0.2468 0.4262  5 Sb 3.33-3.57
Tl2 0.3206 0.7468 0.0674  5 Sb 3.33-3.57
Tl3 0.6794 0.2532 0.9326  5 Sb 3.33-3.57
Tl4 0.8206 0.7532 0.5738  5 Sb 3.33-3.57
In1 0.2500 0.7500 0.5000  4 Sb 2.99, 2 Ag 3.17
In2 0.7500 0.2500 0.5000  4 Sb 2.99, 2 Ag 3.17
Ag1 0.2500 0.2500 0.0000  4 Sb 2.97, 2 In 3.17
Ag2 0.7500 0.7500 0.0000  4 Sb 2.97, 2 In 3.17
Sb1 0.1122 0.7525 0.8646  2 Ag 2.97, 2 In 2.99
Sb2 0.3878 0.2525 0.6403  2 Ag 2.97, 2 In 2.99
Sb3 0.6122 0.7475 0.3597  2 Ag 2.97, 2 In 2.99
Sb4 0.8878 0.2475 0.1354  2 Ag 2.97, 2 In 2.99